1.
Density functional theory data (GGA-PBE) for a relaxed structure of Li2CdFe.

Unit cell a=9.765 b=9.765 c=9.765 alpha=16.64 beta=16.64 gamma=16.64
Fractional coordinates of all 4 atoms:
Li: 0.000 0.000 0.000
Li: 0.244 0.244 0.244
Cd: 0.492 0.492 0.492
Fe: 0.743 0.743 0.743

Formation energy from the elements = 0.198 eV per atom
Space group = No. 160

2.
Density functional theory data (GGA-PBE) for a relaxed structure of SrAg2SeO4.

Unit cell a=6.775 b=6.775 c=8.157 alpha=119.68 beta=119.68 gamma=65.48
Fractional coordinates of all 16 atoms:
Sr: 0.055 0.055 0.322
Sr: 0.945 0.945 0.678
Ag: 0.460 0.074 0.210
Ag: 0.469 0.413 0.618
Ag: 0.587 0.531 0.382
Ag: 0.926 0.540 0.790
Se: 0.482 0.046 0.816
Se: 0.954 0.518 0.184
O: 0.099 0.210 0.096
O: 0.106 0.211 0.686
O: 0.193 0.625 0.265
O: 0.375 0.807 0.735
O: 0.497 0.043 0.601
O: 0.789 0.894 0.314
O: 0.790 0.901 0.904
O: 0.957 0.503 0.399

Space group = No. 5
Formation energy from raw total energies = -1.04 eV per atom

3.
Density functional theory data (GGA-PBE) for a relaxed structure of MgCu3B.

Unit cell a=3.995 b=3.995 c=3.995 alpha=90.00 beta=90.00 gamma=90.00
Fractional coordinates of all 5 atoms:
Mg: 0.000 0.000 0.000
Cu: 0.000 0.500 0.500
Cu: 0.500 0.000 0.500
Cu: 0.500 0.500 0.000
B: 0.500 0.500 0.500

Offset from the most stable computed form = 0.0 meV/atom
Formation energy from the elements = 0.066 eV per atom
Space group = No. 221

4.
Density functional theory data (GGA-PBE) for a relaxed structure of PaZnPbO5.

Unit cell a=6.087 b=6.087 c=8.165 alpha=103.36 beta=103.36 gamma=110.72
Fractional coordinates of all 16 atoms:
Pa: 0.000 0.000 0.000
Pa: 0.000 0.000 0.500
Zn: 0.317 0.683 0.750
Zn: 0.683 0.317 0.250
Pb: 0.321 0.679 0.250
Pb: 0.679 0.321 0.750
O: 0.085 0.915 0.250
O: 0.086 0.681 0.883
O: 0.253 0.371 0.574
O: 0.319 0.914 0.617
O: 0.371 0.253 0.074
O: 0.629 0.747 0.926
O: 0.681 0.086 0.383
O: 0.747 0.629 0.426
O: 0.914 0.319 0.117
O: 0.915 0.085 0.750

Space group = No. 15
Formation energy from raw total energies = -2.08 eV per atom